Entry 1:
Material: ScRuPt2
Method: DFT, PBE-GGA
State: optimized geometry

Cell and atoms, written as POSCAR:
```
ScRuPt2
1.0
2.923 0.000 0.000
0.000 3.847 0.000
0.000 0.000 5.755
Pt Sc Ru
2 1 1
Cartesian
0.000 0.000 5.742
1.461 1.924 1.564
1.461 1.924 4.347
0.000 0.000 2.735
```

Results
space-group type = No. 25
ρ = 13.756 g cm⁻³
E_form = -184 kJ/mol of formula units
volume = 16.18 Å³/atom

=====

Entry 2:
Material: KAgCl2
Method: DFT, PBE-GGA
State: optimized geometry

Cell and atoms, written as POSCAR:
```
KAgCl2
1.0
-2.200 3.543 -0.246
-3.429 0.497 2.335
2.022 4.123 5.829
Cl Ag K
2 1 1
Cartesian
-1.044 1.940 1.792
1.190 3.530 4.733
-1.747 6.805 7.199
-1.786 4.094 3.981
```

Results
space-group type = No. 160
ρ = 3.410 g cm⁻³
uncorrected formation energy = -1.14 eV per atom
volume = 26.52 Å³/atom

=====

Which formula does entry 2 have? KAgCl2